(1)
## CuRe2Ni (GGA-PBE)

Data for CuRe2Ni after structural relaxation.

energy above the most stable polymorph in this dataset = 0.036 eV per atom
energy of formation = 159 meV per atom
M_tot = 0.00 μB/cell

abc: 2.6308 3.8794 5.2516
angles: 90.00 90.00 90.00
With the nearest neighbours (Å) after each atom.
Sites, in units of the cell vectors:
1 Re 0.0000 0.0000 0.9995  2 Cu 2.55-2.70, 6 Re 2.63-2.69, 4 Ni 2.72
2 Cu 0.0000 0.0000 0.5133  6 Re 2.55-2.72, 4 Ni 2.62, 2 Cu 2.63
3 Re 0.5000 0.5000 0.2500  2 Ni 2.56-2.69, 6 Re 2.63-2.69, 4 Cu 2.72
4 Ni 0.5000 0.5000 0.7373  6 Re 2.56-2.72, 4 Cu 2.62, 2 Ni 2.63

(2)
## CuRe2Ni (GGA-PBE)

Data for CuRe2Ni after structural relaxation.

energy above the most stable polymorph in this dataset = 0.342 eV per atom
energy of formation = 466 meV per atom
M_tot = 0.00 μB/cell

abc: 4.2022 4.2022 2.9701
angles: 90.00 90.00 90.00
With the nearest neighbours (Å) after each atom.
Sites, in units of the cell vectors:
1 Cu 0.5000 0.0000 0.5000  8 Re 2.57
2 Ni 0.0000 0.5000 0.5000  8 Re 2.57
3 Re 0.5000 0.5000 0.0000  4 Ni 2.57, 4 Cu 2.57
4 Re 0.0000 0.0000 0.0000  4 Ni 2.57, 4 Cu 2.57